{"formula": "NiMoOs2", "functional": "PBE", "state": "optimized geometry", "cell": [[-2.104, 0.477, 1.656], [-0.473, -2.672, 0.169], [4.626, -0.438, 6.005]], "species": ["Mo", "Os", "Os", "Ni"], "fractional_positions": [[0.000, 0.000, 0.516], [0.000, 0.000, 0.998], [0.500, 0.500, 0.234], [0.500, 0.500, 0.753]], "dft_energy_ev_per_cell": -38.6, "formation_enthalpy_0k_mev_per_atom": 111, "e_above_lowest_polymorph_ev_per_atom": 0.073}